An optimized crystal structure of RbLiPSe4, computed with PBE-GGA.

It has space group P2_1/m (No. 11), with a = 6.788 Å, b = 6.499 Å, c = 9.985 Å, α = 90.00°, β = 104.07° and γ = 90.00°. The inequivalent atoms are Rb at (0.209, 0.250, 0.025), Li at (0.147, 0.250, 0.540), P at (0.241, 0.750, 0.304), Se at (0.025, 0.010, 0.303), Se at (0.357, 0.750, 0.119) and Se at (0.488, 0.750, 0.503).

As for the crystal system: monoclinic. The calculation puts the formation energy without anion corrections at -0.590 eV/atom.

=====

An optimized crystal structure of Rb2LiP2Se6, computed with PBE-GGA.

It has space group C2/m (No. 12), with a = 14.107 Å, b = 6.708 Å, c = 7.790 Å, α = 90.00°, β = 109.19° and γ = 90.00°. The inequivalent atoms are Rb at (0.214, 0.000, 0.206), Li at (0.000, 0.000, 0.500), P at (0.020, 0.500, 0.158), Se at (0.062, 0.233, 0.794) and Se at (0.181, 0.500, 0.288).

As for the crystal system: monoclinic. The calculation puts the formation energy without anion corrections at -0.585 eV/atom.

=====

An optimized crystal structure of Rb2LiPSe4, computed with PBE-GGA.

It has space group Fddd (No. 70, origin choice 2), with a = 6.117 Å, b = 13.852 Å, c = 25.084 Å, α = 90.00°, β = 90.00° and γ = 90.00°. The inequivalent atoms are Rb at (0.125, 0.125, 0.307), Li at (0.125, 0.125, 0.125), P at (0.125, 0.125, 0.625) and Se at (0.083, 0.281, 0.824).

As for the crystal system: orthorhombic. The calculation puts the formation energy without anion corrections at -0.837 eV/atom.

=====

An optimized crystal structure of RbLiSiP2, computed with PBE-GGA.

It has space group C2/m (No. 12), with a = 13.074 Å, b = 3.804 Å, c = 9.627 Å, α = 90.00°, β = 99.42° and γ = 90.00°. The inequivalent atoms are Rb at (0.148, 0.000, 0.155), Li at (0.192, 0.000, 0.568), Si at (0.055, 0.500, 0.650), P at (0.111, 0.000, 0.787) and P at (0.115, 0.500, 0.440).

As for the crystal system: monoclinic. The calculation puts the formation energy without anion corrections at -0.455 eV/atom.

=====

An optimized crystal structure of Rb2LiSiP2, computed with PBE-GGA.

It has space group Ibam (No. 72), with a = 5.958 Å, b = 22.275 Å, c = 5.894 Å, α = 90.00°, β = 90.00° and γ = 90.00°. The inequivalent atoms are Rb at (0.246, 0.150, 0.000), Li at (0.000, 0.000, 0.250), Si at (0.000, 0.500, 0.250) and P at (0.208, 0.444, 0.000).

As for the crystal system: orthorhombic. The calculation puts the formation energy without anion corrections at -0.435 eV/atom.

=====

An optimized crystal structure of RbLiSnP2, computed with PBE-GGA.

It has space group C2/m (No. 12), with a = 13.610 Å, b = 4.175 Å, c = 9.859 Å, α = 90.00°, β = 99.15° and γ = 90.00°. The inequivalent atoms are Rb at (0.149, 0.000, 0.163), Li at (0.186, 0.000, 0.560), Sn at (0.057, 0.500, 0.667), P at (0.124, 0.000, 0.807) and P at (0.126, 0.500, 0.437).

The formation energy comes out at -188.4 kJ/mol of formula units. As for the crystal system: monoclinic.

=====

An optimized crystal structure of RbLiTcP2, computed with PBE-GGA.

It has space group P4/mmm (No. 123), with a = 4.776 Å, b = 4.776 Å, c = 4.572 Å, α = 90.00°, β = 90.00° and γ = 90.00°. The inequivalent atoms are Rb at (0.000, 0.000, 0.000), Li at (0.000, 0.000, 0.500), Tc at (0.500, 0.500, 0.000) and P at (0.000, 0.500, 0.500).

The formation energy comes out at 532.5 kJ/mol of formula units. As for the crystal system: tetragonal.

=====

An optimized crystal structure of Rb2LiZnP2, computed with PBE-GGA.

It has space group Ibam (No. 72), with a = 6.273 Å, b = 15.643 Å, c = 6.293 Å, α = 90.00°, β = 90.00° and γ = 90.00°. The inequivalent atoms are Rb at (0.238, 0.169, 0.000), Li at (0.000, 0.000, 0.250), Zn at (0.000, 0.500, 0.250) and P at (0.230, 0.418, 0.000).

The formation energy comes out at -206.2 kJ/mol of formula units. As for the crystal system: orthorhombic.

=====

An optimized crystal structure of LiRe4P, computed with PBE-GGA.

It has space group F-43m (No. 216), with a = 7.344 Å, b = 7.344 Å, c = 7.344 Å, α = 90.00°, β = 90.00° and γ = 90.00°. The inequivalent atoms are Li at (0.000, 0.000, 0.000), Re at (0.125, 0.125, 0.625) and P at (0.250, 0.250, 0.250).

The formation energy comes out at 437.4 kJ/mol of formula units. As for the crystal system: cubic.

=====

An optimized crystal structure of Li3ReP, computed with PBE-GGA.

It has space group Pm-3m (No. 221), with a = 4.272 Å, b = 4.272 Å, c = 4.272 Å, α = 90.00°, β = 90.00° and γ = 90.00°. The inequivalent atoms are Li at (0.000, 0.000, 0.500), Re at (0.500, 0.500, 0.500) and P at (0.000, 0.000, 0.000).

The formation energy comes out at 497.7 kJ/mol of formula units. As for the crystal system: cubic.

=====

An optimized crystal structure of LiReP, computed with PBE-GGA.

It has space group F-43m (No. 216), with a = 5.599 Å, b = 5.599 Å, c = 5.599 Å, α = 90.00°, β = 90.00° and γ = 90.00°. The inequivalent atoms are Li at (0.000, 0.000, 0.000), Re at (0.250, 0.250, 0.750) and P at (0.000, 0.000, 0.500).

The formation energy comes out at 92.6 kJ/mol of formula units. As for the crystal system: cubic.

=====

An optimized crystal structure of Li4ReP, computed with PBE-GGA.

It has space group F-43m (No. 216), with a = 6.607 Å, b = 6.607 Å, c = 6.607 Å, α = 90.00°, β = 90.00° and γ = 90.00°. The inequivalent atoms are Li at (0.125, 0.125, 0.125), Re at (0.000, 0.000, 0.500) and P at (0.250, 0.250, 0.750).

The formation energy comes out at 244.9 kJ/mol of formula units. As for the crystal system: cubic.